(1)
Density functional theory data (PBE) for an optimized crystal structure of Ti4SnPt.

Summary:
Formation enthalpy at 0 K   -465 meV per atom
Energy above the most stable polymorph in this dataset   0 meV/atom
Density   8.1 Mg/m³

a = 3.403 Å, b = 5.251 Å, c = 6.461 Å
α = 72.51°, β = 90.00°, γ = 71.10°
Positions (direct):
Ti1 0.829 0.839 0.181
Ti2 0.164 0.169 0.351
Ti3 0.838 0.821 0.652
Ti4 0.172 0.152 0.822
Pt1 0.501 0.495 0.502
Sn1 0.501 0.495 0.002



(2)
Density functional theory data (PBE) for an optimized crystal structure of TiSnPt3.

Summary:
Formation enthalpy at 0 K   824 meV per atom
Energy above the most stable polymorph in this dataset   520 meV/atom
Density   10.7 Mg/m³

a = 4.881 Å, b = 4.881 Å, c = 4.881 Å
α = 90.00°, β = 90.00°, γ = 90.00°
Positions (direct):
Sn1 0.000 0.000 0.000
Pt1 0.000 0.000 0.500
Pt2 0.500 0.000 0.000
Pt3 0.000 0.500 0.000
Ti1 0.500 0.500 0.500



(3)
Density functional theory data (PBE) for an optimized crystal structure of Ti2SnPt.

Summary:
Formation enthalpy at 0 K   -307 meV per atom
Density   8.7 Mg/m³

a = 3.376 Å, b = 3.376 Å, c = 8.148 Å
α = 78.04°, β = 78.04°, γ = 60.00°
Positions (direct):
Ti1 0.738 0.738 0.787
Ti2 0.262 0.262 0.213
Pt1 0.000 0.000 0.000
Sn1 0.500 0.500 0.500



(4)
Density functional theory data (PBE) for an optimized crystal structure of Ti8Sn2Pt.

Summary:
Formation enthalpy at 0 K   -353 meV per atom
Density   7.0 Mg/m³

a = 4.747 Å, b = 5.281 Å, c = 8.076 Å
α = 94.05°, β = 107.09°, γ = 90.00°
Positions (direct):
Pt1 0.500 0.000 0.000
Ti1 0.045 0.274 0.091
Ti2 0.955 0.726 0.909
Ti3 0.337 0.884 0.675
Ti4 0.764 0.658 0.529
Ti5 0.583 0.560 0.167
Ti6 0.663 0.116 0.325
Ti7 0.417 0.440 0.833
Ti8 0.236 0.342 0.471
Sn1 0.152 0.803 0.303
Sn2 0.848 0.197 0.697



(5)
Density functional theory data (PBE) for an optimized crystal structure of Ti2Sn2Pt.

Summary:
Formation enthalpy at 0 K   -244 meV per atom
Energy above the most stable polymorph in this dataset   22 meV/atom
Density   8.8 Mg/m³

a = 6.747 Å, b = 6.747 Å, c = 4.384 Å
α = 90.00°, β = 90.00°, γ = 90.00°
Positions (direct):
Sn1 0.665 0.835 0.500
Sn2 0.835 0.335 0.500
Sn3 0.165 0.665 0.500
Sn4 0.335 0.165 0.500
Ti1 0.646 0.146 0.000
Ti2 0.354 0.854 0.000
Ti3 0.146 0.354 0.000
Ti4 0.854 0.646 0.000
Pt1 0.000 0.000 0.000
Pt2 0.500 0.500 0.000



(6)
Density functional theory data (PBE) for an optimized crystal structure of Ti12Sn6Pt.

Summary:
Formation enthalpy at 0 K   -216 meV per atom
Density   7.0 Mg/m³

a = 7.075 Å, b = 7.075 Å, c = 7.075 Å
α = 91.05°, β = 91.05°, γ = 91.05°
Positions (direct):
Ti1 0.796 0.529 0.447
Ti2 0.378 0.065 0.143
Ti3 0.622 0.935 0.857
Ti4 0.553 0.204 0.471
Ti5 0.529 0.447 0.796
Ti6 0.065 0.143 0.378
Ti7 0.857 0.622 0.935
Ti8 0.143 0.378 0.065
Ti9 0.935 0.857 0.622
Ti10 0.447 0.796 0.529
Ti11 0.471 0.553 0.204
Ti12 0.204 0.471 0.553
Sn1 0.284 0.124 0.740
Sn2 0.876 0.260 0.716
Sn3 0.124 0.740 0.284
Sn4 0.260 0.716 0.876
Sn5 0.716 0.876 0.260
Sn6 0.740 0.284 0.124
Pt1 0.000 0.000 0.000



(7)
Density functional theory data (PBE) for an optimized crystal structure of Ti2SnPt.

Summary:
Formation enthalpy at 0 K   -267 meV per atom
Density   8.8 Mg/m³

a = 7.343 Å, b = 7.343 Å, c = 5.933 Å
α = 51.77°, β = 51.77°, γ = 90.00°
Positions (direct):
Ti1 0.090 0.625 0.250
Ti2 0.875 0.910 0.750
Ti3 0.375 0.340 0.750
Ti4 0.660 0.125 0.250
Sn1 0.250 0.750 0.500
Sn2 0.500 0.500 0.000
Pt1 0.000 0.000 0.000
Pt2 0.750 0.250 0.500



(8)
Density functional theory data (PBE) for an optimized crystal structure of Ti2Sn2Pt.

Summary:
Formation enthalpy at 0 K   -265 meV per atom
Energy above the most stable polymorph in this dataset   0 meV/atom
Density   9.0 Mg/m³

a = 6.887 Å, b = 6.887 Å, c = 4.119 Å
α = 90.00°, β = 90.00°, γ = 90.00°
Positions (direct):
Pt1 0.000 0.000 0.000
Pt2 0.500 0.500 0.000
Sn1 0.645 0.145 0.000
Sn2 0.145 0.355 0.000
Sn3 0.355 0.855 0.000
Sn4 0.855 0.645 0.000
Ti1 0.157 0.657 0.500
Ti2 0.343 0.157 0.500
Ti3 0.657 0.843 0.500
Ti4 0.843 0.343 0.500



(9)
Density functional theory data (PBE) for an optimized crystal structure of TiSnPt6.

Summary:
Formation enthalpy at 0 K   -646 meV per atom
Density   17.3 Mg/m³

a = 4.001 Å, b = 4.001 Å, c = 8.031 Å
α = 90.00°, β = 90.00°, γ = 90.00°
Positions (direct):
Pt1 0.000 0.500 0.737
Pt2 0.500 0.000 0.263
Pt3 0.000 0.500 0.263
Pt4 0.500 0.000 0.737
Pt5 0.500 0.500 0.500
Pt6 0.500 0.500 0.000
Ti1 0.000 0.000 0.500
Sn1 0.000 0.000 0.000



(10)
Density functional theory data (PBE) for an optimized crystal structure of Ti4SnPt.

Summary:
Formation enthalpy at 0 K   -216 meV per atom
Energy above the most stable polymorph in this dataset   249 meV/atom
Density   7.3 Mg/m³

a = 4.964 Å, b = 6.893 Å, c = 7.306 Å
α = 101.90°, β = 109.86°, γ = 89.98°
Positions (direct):
Ti1 0.000 0.125 0.343
Ti2 0.295 0.569 0.860
Ti3 0.342 0.625 0.343
Ti4 0.658 0.375 0.657
Ti5 0.705 0.431 0.140
Ti6 0.000 0.875 0.657
Ti7 0.564 0.069 0.860
Ti8 0.436 0.931 0.140
Sn1 0.871 0.750 0.000
Sn2 0.129 0.250 0.000
Pt1 0.500 0.000 0.500
Pt2 0.000 0.500 0.500



(11)
Density functional theory data (PBE) for an optimized crystal structure of Ti2SnPt2.

Summary:
Formation enthalpy at 0 K   -581 meV per atom
Density   10.2 Mg/m³

a = 4.308 Å, b = 4.308 Å, c = 6.108 Å
α = 69.35°, β = 69.35°, γ = 90.00°
Positions (direct):
Pt1 0.624 0.624 0.753
Pt2 0.376 0.376 0.247
Sn1 0.000 0.000 0.000
Ti1 0.750 0.250 0.500
Ti2 0.250 0.750 0.500



(12)
Density functional theory data (PBE) for an optimized crystal structure of TlSn2Pt9.

Summary:
Formation enthalpy at 0 K   -291 meV per atom
Density   18.0 Mg/m³

a = 4.071 Å, b = 4.071 Å, c = 12.206 Å
α = 90.00°, β = 90.00°, γ = 90.00°
Positions (direct):
Pt1 0.500 0.500 0.336
Pt2 0.000 0.500 0.829
Pt3 0.500 0.000 0.829
Pt4 0.500 0.500 0.664
Pt5 0.000 0.500 0.171
Pt6 0.500 0.500 0.000
Pt7 0.500 0.000 0.500
Pt8 0.500 0.000 0.171
Pt9 0.000 0.500 0.500
Tl1 0.000 0.000 0.000
Sn1 0.000 0.000 0.332
Sn2 0.000 0.000 0.668



(13)
Density functional theory data (PBE) for an optimized crystal structure of TlSn2Pt.

Summary:
Formation enthalpy at 0 K   25 meV per atom
Energy above the most stable polymorph in this dataset   277 meV/atom
Density   9.3 Mg/m³

a = 5.144 Å, b = 5.144 Å, c = 9.328 Å
α = 74.00°, β = 74.00°, γ = 90.00°
Positions (direct):
Sn1 0.551 0.125 0.250
Sn2 0.199 0.625 0.250
Sn3 0.875 0.801 0.750
Sn4 0.375 0.449 0.750
Tl1 0.000 0.000 0.000
Tl2 0.750 0.250 0.500
Pt1 0.500 0.500 0.000
Pt2 0.250 0.750 0.500



(14)
Density functional theory data (PBE) for an optimized crystal structure of Tl2SnPt2.

Summary:
Formation enthalpy at 0 K   97 meV per atom
Energy above the most stable polymorph in this dataset   113 meV/atom
Density   13.2 Mg/m³

a = 4.201 Å, b = 4.201 Å, c = 7.200 Å
α = 73.04°, β = 73.04°, γ = 90.00°
Positions (direct):
Tl1 0.750 0.250 0.500
Tl2 0.250 0.750 0.500
Pt1 0.600 0.600 0.800
Pt2 0.400 0.400 0.200
Sn1 0.000 0.000 0.000



(15)
Density functional theory data (PBE) for an optimized crystal structure of TlSn2Pt.

Summary:
Formation enthalpy at 0 K   -253 meV per atom
Energy above the most stable polymorph in this dataset   0 meV/atom
Density   9.6 Mg/m³

a = 4.303 Å, b = 4.303 Å, c = 7.299 Å
α = 72.86°, β = 72.86°, γ = 60.00°
Positions (direct):
Sn1 0.277 0.277 0.169
Sn2 0.055 0.055 0.834
Tl1 0.500 0.500 0.500
Pt1 0.668 0.668 0.997



(16)
Density functional theory data (PBE) for an optimized crystal structure of Tl2SnPt.

Summary:
Formation enthalpy at 0 K   116 meV per atom
Density   11.5 Mg/m³

a = 3.447 Å, b = 3.447 Å, c = 10.296 Å
α = 80.36°, β = 80.36°, γ = 60.00°
Positions (direct):
Tl1 0.100 0.100 0.699
Tl2 0.900 0.900 0.301
Sn1 0.000 0.000 0.000
Pt1 0.500 0.500 0.500



(17)
Density functional theory data (PBE) for an optimized crystal structure of TlSn12Pt4.

Summary:
Formation enthalpy at 0 K   -299 meV per atom
Density   9.1 Mg/m³

a = 8.289 Å, b = 8.289 Å, c = 8.289 Å
α = 109.47°, β = 109.47°, γ = 109.47°
Positions (direct):
Sn1 0.157 0.658 0.816
Sn2 0.501 0.843 0.658
Sn3 0.184 0.843 0.342
Sn4 0.157 0.342 0.499
Sn5 0.843 0.342 0.184
Sn6 0.658 0.501 0.843
Sn7 0.843 0.658 0.501
Sn8 0.342 0.499 0.157
Sn9 0.499 0.157 0.342
Sn10 0.816 0.157 0.658
Sn11 0.342 0.184 0.843
Sn12 0.658 0.816 0.157
Tl1 0.000 0.000 0.000
Pt1 0.500 0.500 0.500
Pt2 0.000 0.500 0.000
Pt3 0.000 0.000 0.500
Pt4 0.500 0.000 0.000



(18)
Density functional theory data (PBE) for an optimized crystal structure of TlSnPt2.

Summary:
Formation enthalpy at 0 K   73 meV per atom
Density   10.3 Mg/m³

a = 6.397 Å, b = 6.397 Å, c = 7.227 Å
α = 63.73°, β = 63.73°, γ = 90.00°
Positions (direct):
Sn1 0.500 0.500 0.000
Sn2 0.250 0.750 0.500
Pt1 0.606 0.125 0.250
Pt2 0.144 0.625 0.250
Pt3 0.375 0.394 0.750
Pt4 0.875 0.856 0.750
Tl1 0.750 0.250 0.500
Tl2 0.000 0.000 0.000



(19)
Density functional theory data (PBE) for an optimized crystal structure of TlSn2Pt.

Summary:
Formation enthalpy at 0 K   -162 meV per atom
Energy above the most stable polymorph in this dataset   90 meV/atom
Density   9.3 Mg/m³

a = 3.744 Å, b = 3.744 Å, c = 9.623 Å
α = 78.78°, β = 78.78°, γ = 60.00°
Positions (direct):
Sn1 0.108 0.108 0.675
Sn2 0.892 0.892 0.325
Pt1 0.500 0.500 0.500
Tl1 0.000 0.000 0.000



(20)
Density functional theory data (PBE) for an optimized crystal structure of TlSn3Pt.

Summary:
Formation enthalpy at 0 K   55 meV per atom
Energy above the most stable polymorph in this dataset   0 meV/atom
Density   8.4 Mg/m³

a = 5.312 Å, b = 5.312 Å, c = 5.312 Å
α = 90.00°, β = 90.00°, γ = 90.00°
Positions (direct):
Pt1 0.000 0.000 0.000
Sn1 0.000 0.500 0.000
Sn2 0.500 0.000 0.000
Sn3 0.000 0.000 0.500
Tl1 0.500 0.500 0.500



(21)
Density functional theory data (PBE) for an optimized crystal structure of Tl2SnPt.

Summary:
Formation enthalpy at 0 K   129 meV per atom
Density   11.9 Mg/m³

a = 4.216 Å, b = 4.216 Å, c = 11.687 Å
α = 79.61°, β = 79.61°, γ = 90.00°
Positions (direct):
Tl1 0.631 0.125 0.250
Tl2 0.119 0.625 0.250
Tl3 0.375 0.369 0.750
Tl4 0.875 0.881 0.750
Sn1 0.500 0.500 0.000
Sn2 0.250 0.750 0.500
Pt1 0.000 0.000 0.000
Pt2 0.750 0.250 0.500



(22)
Density functional theory data (PBE) for an optimized crystal structure of Tl2SnPt2.

Summary:
Formation enthalpy at 0 K   -16 meV per atom
Energy above the most stable polymorph in this dataset   0 meV/atom
Density   13.7 Mg/m³

a = 7.355 Å, b = 7.355 Å, c = 4.100 Å
α = 90.00°, β = 90.00°, γ = 90.00°
Positions (direct):
Tl1 0.337 0.163 0.500
Tl2 0.663 0.837 0.500
Tl3 0.837 0.337 0.500
Tl4 0.163 0.663 0.500
Sn1 0.000 0.000 0.000
Sn2 0.500 0.500 0.000
Pt1 0.362 0.862 0.000
Pt2 0.638 0.138 0.000
Pt3 0.138 0.362 0.000
Pt4 0.862 0.638 0.000



(23)
Density functional theory data (PBE) for an optimized crystal structure of TlSn2Pt.

Summary:
Formation enthalpy at 0 K   -212 meV per atom
Energy above the most stable polymorph in this dataset   41 meV/atom
Density   10.8 Mg/m³

a = 3.393 Å, b = 3.393 Å, c = 8.510 Å
α = 90.00°, β = 90.00°, γ = 90.00°
Positions (direct):
Sn1 0.000 0.000 0.809
Sn2 0.000 0.000 0.191
Tl1 0.500 0.500 0.500
Pt1 0.500 0.500 0.000



(24)
Density functional theory data (PBE) for an optimized crystal structure of TlSnPt4.

Summary:
Formation enthalpy at 0 K   -138 meV per atom
Density   16.0 Mg/m³

a = 5.447 Å, b = 5.447 Å, c = 5.447 Å
α = 60.00°, β = 60.00°, γ = 60.00°
Positions (direct):
Pt1 0.625 0.625 0.125
Pt2 0.125 0.625 0.625
Pt3 0.625 0.625 0.625
Pt4 0.625 0.125 0.625
Tl1 0.250 0.250 0.250
Sn1 0.000 0.000 0.000